[1]
Entry from Alexandria via LeMat-Bulk: a crystal of CoP8 relaxed with PBEsol (SCAN).

Results
total energy: -94.3 eV/f.u.
energy relative to the elements: 0.69 eV per atom

```
CoP8
1.0
-3.535 3.535 2.522
3.535 -3.535 2.522
3.535 3.535 -2.522
Co P
1 8
Direct
0.000 0.000 0.000 Co
0.000 0.311 0.311 P
0.000 0.689 0.689 P
0.311 0.000 0.311 P
0.340 0.340 0.681 P
0.340 0.660 0.000 P
0.660 0.340 0.000 P
0.660 0.660 0.319 P
0.689 0.000 0.689 P
```

***

[2]
Entry from Alexandria via LeMat-Bulk: a crystal of Co4P relaxed with PBEsol (SCAN).

Results
energy above the most stable polymorph in this dataset: 0.268 eV per atom
total energy: -78.3 eV/f.u.
energy relative to the elements: 0.26 eV per atom

```
Co4P
1.0
-2.494 2.494 2.494
2.494 -2.494 2.494
2.494 2.494 -2.494
Co P
4 1
Direct
0.000 0.000 0.500 Co
0.000 0.500 0.000 Co
0.500 0.000 0.000 Co
0.500 0.500 0.500 Co
0.000 0.000 0.000 P
```

***

[3]
Entry from Alexandria via LeMat-Bulk: a crystal of CoP relaxed with PBEsol (SCAN).

Results
total energy: -28.0 eV/f.u.
energy relative to the elements: -0.12 eV per atom

```
CoP
1.0
3.821 -1.487 0.000
3.821 1.487 0.000
-0.977 0.000 3.841
Co P
2 2
Direct
0.107 0.107 0.309 Co
0.893 0.893 0.691 Co
0.381 0.381 0.209 P
0.619 0.619 0.791 P
```

***

[4]
Entry from Alexandria via LeMat-Bulk: a crystal of Co3P4 relaxed with PBEsol (SCAN).

Results
total energy: -89.3 eV/f.u.
energy relative to the elements: 0.60 eV per atom

```
Co3P4
1.0
4.854 0.000 0.000
-2.427 4.203 0.000
0.000 0.000 4.065
Co P
3 4
Direct
0.000 0.500 0.000 Co
0.500 0.000 0.000 Co
0.500 0.500 0.000 Co
0.000 0.000 0.248 P
0.000 0.000 0.752 P
0.333 0.667 0.500 P
0.667 0.333 0.500 P
```

***

[5]
Entry from Alexandria via LeMat-Bulk: a crystal of CoP2Pb relaxed with PBEsol (SCAN).

Results
total energy: -110.4 eV/f.u.
energy relative to the elements: 0.86 eV per atom

```
CoP2Pb
1.0
3.413 0.000 0.000
0.000 3.959 0.000
0.000 0.000 4.843
Co P Pb
1 2 1
Direct
0.000 0.000 0.000 Co
0.000 0.500 0.500 P
0.500 0.000 0.500 P
0.500 0.500 0.000 Pb
```

***

[6]
Entry from Alexandria via LeMat-Bulk: a crystal of CoP2Pb relaxed with PBEsol (SCAN).

Results
total energy: -112.7 eV/f.u.
energy relative to the elements: 0.30 eV per atom

```
CoP2Pb
1.0
3.035 0.000 0.000
0.000 3.035 0.000
0.000 0.000 7.156
Co P Pb
1 2 1
Direct
0.000 0.000 0.000 Co
0.000 0.000 0.314 P
0.500 0.500 0.125 P
0.500 0.500 0.701 Pb
```